# 1
# Tb4Pm2NdDy2 | Alexandria via LeMat-Bulk | PBE-GGA | relaxed
data_Tb4Pm2NdDy2
_space_group_name_H-M_alt 'P 1'
_space_group_IT_number 1
_space_group_name_Hall 'P 1'
_cell_length_a 9.5692
_cell_length_b 9.5692
_cell_length_c 9.6213
_cell_angle_alpha 115.21
_cell_angle_beta 115.21
_cell_angle_gamma 21.81
loop_
_atom_site_label
_atom_site_type_symbol
_atom_site_fract_x
_atom_site_fract_y
_atom_site_fract_z
Tb1 Tb 0.0191 0.0191 0.3363
Tb2 Tb 0.3140 0.3140 0.6641
Tb3 Tb 0.6860 0.6860 0.3359
Tb4 Tb 0.9809 0.9809 0.6637
Pm1 Pm 0.1670 0.1670 0.9999
Pm2 Pm 0.8330 0.8330 0.0001
Nd1 Nd 0.5000 0.5000 0.0000
Dy1 Dy 0.3524 0.3524 0.3355
Dy2 Dy 0.6476 0.6476 0.6645
# **Energy relative to the elements**: 0.00 eV per atom



# 2
# TbPmNd3Dy | Alexandria via LeMat-Bulk | PBE-GGA | relaxed
data_TbPmNd3Dy
_space_group_name_H-M_alt 'P 1'
_space_group_IT_number 1
_space_group_name_Hall 'P 1'
_cell_length_a 8.1268
_cell_length_b 8.1268
_cell_length_c 10.2892
_cell_angle_alpha 90.00
_cell_angle_beta 90.00
_cell_angle_gamma 143.24
loop_
_atom_site_label
_atom_site_type_symbol
_atom_site_fract_x
_atom_site_fract_y
_atom_site_fract_z
Tb1 Tb 0.1662 0.8338 0.7500
Tb2 Tb 0.8338 0.1662 0.2500
Pm1 Pm 0.4989 0.5011 0.2500
Pm2 Pm 0.5011 0.4989 0.7500
Nd1 Nd 0.1667 0.8333 0.2500
Nd2 Nd 0.3345 0.6655 0.0004
Nd3 Nd 0.3345 0.6655 0.4996
Nd4 Nd 0.6655 0.3345 0.9996
Nd5 Nd 0.6655 0.3345 0.5004
Nd6 Nd 0.8333 0.1667 0.7500
Dy1 Dy 0.0000 0.0000 0.0000
Dy2 Dy 0.0000 0.0000 0.5000
# **Energy relative to the elements**: 0.02 eV per atom



# 3
# TbPmNd2Dy | Alexandria via LeMat-Bulk | PBE-GGA | relaxed
data_TbPmNd2Dy
_space_group_name_H-M_alt 'P 1'
_space_group_IT_number 1
_space_group_name_Hall 'P 1'
_cell_length_a 8.2395
_cell_length_b 6.7594
_cell_length_c 6.2238
_cell_angle_alpha 90.00
_cell_angle_beta 90.12
_cell_angle_gamma 90.00
loop_
_atom_site_label
_atom_site_type_symbol
_atom_site_fract_x
_atom_site_fract_y
_atom_site_fract_z
Tb1 Tb 0.0000 0.0790 0.2500
Tb2 Tb 0.0000 0.9210 0.7500
Pm1 Pm 0.0000 0.5000 0.0000
Pm2 Pm 0.0000 0.5000 0.5000
Nd1 Nd 0.3047 0.1929 0.7491
Nd2 Nd 0.3047 0.8071 0.2491
Nd3 Nd 0.6953 0.1929 0.7509
Nd4 Nd 0.6953 0.8071 0.2509
Dy1 Dy 0.5000 0.3420 0.2500
Dy2 Dy 0.5000 0.6580 0.7500
# **Energy relative to the elements**: 0.26 eV per atom



# 4
# Tb2Pm5NdDy | Alexandria via LeMat-Bulk | PBE-GGA | relaxed
data_Tb2Pm5NdDy
_space_group_name_H-M_alt 'P 1'
_space_group_IT_number 1
_space_group_name_Hall 'P 1'
_cell_length_a 10.5647
_cell_length_b 10.5647
_cell_length_c 10.7310
_cell_angle_alpha 90.00
_cell_angle_beta 90.00
_cell_angle_gamma 148.83
loop_
_atom_site_label
_atom_site_type_symbol
_atom_site_fract_x
_atom_site_fract_y
_atom_site_fract_z
Tb1 Tb 0.1107 0.8893 0.5000
Tb2 Tb 0.1163 0.8837 0.0834
Tb3 Tb 0.8837 0.1163 0.5834
Tb4 Tb 0.8893 0.1107 0.0000
Pm1 Pm 0.0167 0.9833 0.7870
Pm2 Pm 0.2811 0.7189 0.0727
Pm3 Pm 0.2977 0.7023 0.4687
Pm4 Pm 0.3922 0.6078 0.7892
Pm5 Pm 0.4793 0.5207 0.5055
Pm6 Pm 0.5207 0.4793 0.0055
Pm7 Pm 0.6078 0.3922 0.2892
Pm8 Pm 0.7023 0.2977 0.9687
Pm9 Pm 0.7189 0.2811 0.5727
Pm10 Pm 0.9833 0.0167 0.2870
Nd1 Nd 0.2017 0.7983 0.7736
Nd2 Nd 0.7983 0.2017 0.2736
Dy1 Dy 0.4111 0.5889 0.2208
Dy2 Dy 0.5889 0.4111 0.7208
# **Energy relative to the elements**: 0.14 eV per atom



# 5
# Tb2PmNdDy6 | Alexandria via LeMat-Bulk | PBE-GGA | relaxed
data_Tb2PmNdDy6
_space_group_name_H-M_alt 'P 1'
_space_group_IT_number 1
_space_group_name_Hall 'P 1'
_cell_length_a 8.8068
_cell_length_b 8.8068
_cell_length_c 9.6230
_cell_angle_alpha 93.95
_cell_angle_beta 93.95
_cell_angle_gamma 117.79
loop_
_atom_site_label
_atom_site_type_symbol
_atom_site_fract_x
_atom_site_fract_y
_atom_site_fract_z
Tb1 Tb 0.1947 0.2985 0.0450
Tb2 Tb 0.2985 0.1947 0.5450
Tb3 Tb 0.7015 0.8053 0.4550
Tb4 Tb 0.8053 0.7015 0.9550
Pm1 Pm 0.4076 0.5924 0.7500
Pm2 Pm 0.5924 0.4076 0.2500
Nd1 Nd 0.0248 0.9752 0.2500
Nd2 Nd 0.9752 0.0248 0.7500
Dy1 Dy 0.0231 0.5693 0.1818
Dy2 Dy 0.1206 0.7479 0.5571
Dy3 Dy 0.2521 0.8794 0.9429
Dy4 Dy 0.2931 0.5083 0.3805
Dy5 Dy 0.4307 0.9769 0.3182
Dy6 Dy 0.4917 0.7069 0.1195
Dy7 Dy 0.5083 0.2931 0.8805
Dy8 Dy 0.5693 0.0231 0.6818
Dy9 Dy 0.7069 0.4917 0.6195
Dy10 Dy 0.7479 0.1206 0.0571
Dy11 Dy 0.8794 0.2521 0.4429
Dy12 Dy 0.9769 0.4307 0.8182
# **Energy relative to the elements**: 0.12 eV per atom



# 6
# Tb3PmNd6Dy2 | Alexandria via LeMat-Bulk | PBE-GGA | relaxed
data_Tb3PmNd6Dy2
_space_group_name_H-M_alt 'P 1'
_space_group_IT_number 1
_space_group_name_Hall 'P 1'
_cell_length_a 6.2931
_cell_length_b 6.2931
_cell_length_c 11.9462
_cell_angle_alpha 95.03
_cell_angle_beta 95.03
_cell_angle_gamma 120.00
loop_
_atom_site_label
_atom_site_type_symbol
_atom_site_fract_x
_atom_site_fract_y
_atom_site_fract_z
Tb1 Tb 0.0000 0.0000 0.0000
Tb2 Tb 0.3332 0.6668 0.0000
Tb3 Tb 0.6668 0.3332 0.0000
Pm1 Pm 0.5000 0.5000 0.5000
Nd1 Nd 0.0820 0.4159 0.2494
Nd2 Nd 0.2503 0.2503 0.7504
Nd3 Nd 0.4159 0.0820 0.2494
Nd4 Nd 0.5841 0.9180 0.7506
Nd5 Nd 0.7497 0.7497 0.2496
Nd6 Nd 0.9180 0.5841 0.7506
Dy1 Dy 0.1666 0.8334 0.5000
Dy2 Dy 0.8334 0.1666 0.5000
# **Energy relative to the elements**: 0.01 eV per atom



# 7
# Tb6PmNd3Dy2 | Alexandria via LeMat-Bulk | PBE-GGA | relaxed
data_Tb6PmNd3Dy2
_space_group_name_H-M_alt 'P 1'
_space_group_IT_number 1
_space_group_name_Hall 'P 1'
_cell_length_a 6.2301
_cell_length_b 6.2301
_cell_length_c 11.8981
_cell_angle_alpha 94.99
_cell_angle_beta 94.99
_cell_angle_gamma 119.98
loop_
_atom_site_label
_atom_site_type_symbol
_atom_site_fract_x
_atom_site_fract_y
_atom_site_fract_z
Tb1 Tb 0.0833 0.4172 0.7526
Tb2 Tb 0.2489 0.2489 0.2474
Tb3 Tb 0.4172 0.0833 0.7526
Tb4 Tb 0.5828 0.9167 0.2474
Tb5 Tb 0.7511 0.7511 0.7526
Tb6 Tb 0.9167 0.5828 0.2474
Pm1 Pm 0.5000 0.5000 0.0000
Nd1 Nd 0.0000 0.0000 0.5000
Nd2 Nd 0.3331 0.6669 0.5000
Nd3 Nd 0.6669 0.3331 0.5000
Dy1 Dy 0.1667 0.8333 0.0000
Dy2 Dy 0.8333 0.1667 0.0000
# **Energy relative to the elements**: 0.01 eV per atom



# 8
# Tb6PmNd2Dy | Alexandria via LeMat-Bulk | PBE-GGA | relaxed
data_Tb6PmNd2Dy
_space_group_name_H-M_alt 'P 1'
_space_group_IT_number 1
_space_group_name_Hall 'P 1'
_cell_length_a 8.8163
_cell_length_b 8.8163
_cell_length_c 9.8180
_cell_angle_alpha 94.82
_cell_angle_beta 94.82
_cell_angle_gamma 118.17
loop_
_atom_site_label
_atom_site_type_symbol
_atom_site_fract_x
_atom_site_fract_y
_atom_site_fract_z
Tb1 Tb 0.0261 0.5785 0.1861
Tb2 Tb 0.1233 0.7439 0.5570
Tb3 Tb 0.2561 0.8767 0.9430
Tb4 Tb 0.2930 0.5008 0.3791
Tb5 Tb 0.4215 0.9739 0.3139
Tb6 Tb 0.4992 0.7070 0.1209
Tb7 Tb 0.5008 0.2930 0.8791
Tb8 Tb 0.5785 0.0261 0.6861
Tb9 Tb 0.7070 0.4992 0.6209
Tb10 Tb 0.7439 0.1233 0.0570
Tb11 Tb 0.8767 0.2561 0.4430
Tb12 Tb 0.9739 0.4215 0.8139
Pm1 Pm 0.4053 0.5947 0.7500
Pm2 Pm 0.5947 0.4053 0.2500
Nd1 Nd 0.1891 0.2921 0.0411
Nd2 Nd 0.2921 0.1891 0.5411
Nd3 Nd 0.7079 0.8109 0.4589
Nd4 Nd 0.8109 0.7079 0.9589
Dy1 Dy 0.0172 0.9828 0.2500
Dy2 Dy 0.9828 0.0172 0.7500
# **Energy relative to the elements**: 0.12 eV per atom



# 9
# TbPmNd2Dy2 | Alexandria via LeMat-Bulk | PBE-GGA | relaxed
data_TbPmNd2Dy2
_space_group_name_H-M_alt 'P 1'
_space_group_IT_number 1
_space_group_name_Hall 'P 1'
_cell_length_a 7.0269
_cell_length_b 5.7135
_cell_length_c 9.8998
_cell_angle_alpha 90.00
_cell_angle_beta 90.00
_cell_angle_gamma 90.00
loop_
_atom_site_label
_atom_site_type_symbol
_atom_site_fract_x
_atom_site_fract_y
_atom_site_fract_z
Tb1 Tb 0.2500 0.0000 0.1644
Tb2 Tb 0.7500 0.0000 0.8356
Pm1 Pm 0.0000 0.5000 0.0000
Pm2 Pm 0.5000 0.5000 0.0000
Nd1 Nd 0.0000 0.0000 0.5000
Nd2 Nd 0.2500 0.5000 0.6699
Nd3 Nd 0.5000 0.0000 0.5000
Nd4 Nd 0.7500 0.5000 0.3301
Dy1 Dy 0.2500 0.0000 0.8326
Dy2 Dy 0.2500 0.5000 0.3349
Dy3 Dy 0.7500 0.0000 0.1674
Dy4 Dy 0.7500 0.5000 0.6651
# **Energy relative to the elements**: 0.06 eV per atom



# 10
# TbPm2Nd3Dy6 | Alexandria via LeMat-Bulk | PBE-GGA | relaxed
data_TbPm2Nd3Dy6
_space_group_name_H-M_alt 'P 1'
_space_group_IT_number 1
_space_group_name_Hall 'P 1'
_cell_length_a 6.2382
_cell_length_b 6.2382
_cell_length_c 11.8569
_cell_angle_alpha 95.02
_cell_angle_beta 95.02
_cell_angle_gamma 119.99
loop_
_atom_site_label
_atom_site_type_symbol
_atom_site_fract_x
_atom_site_fract_y
_atom_site_fract_z
Tb1 Tb 0.0000 0.0000 0.0000
Pm1 Pm 0.3335 0.6665 0.0000
Pm2 Pm 0.6665 0.3335 0.0000
Nd1 Nd 0.1667 0.8333 0.5000
Nd2 Nd 0.5000 0.5000 0.5000
Nd3 Nd 0.8333 0.1667 0.5000
Dy1 Dy 0.0830 0.4161 0.2485
Dy2 Dy 0.2500 0.2500 0.7513
Dy3 Dy 0.4161 0.0830 0.2485
Dy4 Dy 0.5839 0.9170 0.7515
Dy5 Dy 0.7500 0.7500 0.2487
Dy6 Dy 0.9170 0.5839 0.7515
# **Energy relative to the elements**: 0.01 eV per atom



# 11
# Pm3NdDy3Te8 | Alexandria via LeMat-Bulk | PBE-GGA | relaxed
data_Pm3NdDy3Te8
_space_group_name_H-M_alt 'P 1'
_space_group_IT_number 1
_space_group_name_Hall 'P 1'
_cell_length_a 8.7979
_cell_length_b 8.7979
_cell_length_c 8.7979
_cell_angle_alpha 59.96
_cell_angle_beta 59.96
_cell_angle_gamma 59.96
loop_
_atom_site_label
_atom_site_type_symbol
_atom_site_fract_x
_atom_site_fract_y
_atom_site_fract_z
Pm1 Pm 0.0000 0.5000 0.5000
Pm2 Pm 0.5000 0.0000 0.5000
Pm3 Pm 0.5000 0.5000 0.0000
Nd1 Nd 0.5000 0.5000 0.5000
Dy1 Dy 0.0000 0.0000 0.5000
Dy2 Dy 0.0000 0.5000 0.0000
Dy3 Dy 0.5000 0.0000 0.0000
Te1 Te 0.2348 0.7591 0.7591
Te2 Te 0.2409 0.2409 0.7652
Te3 Te 0.2409 0.7652 0.2409
Te4 Te 0.2470 0.2470 0.2470
Te5 Te 0.7530 0.7530 0.7530
Te6 Te 0.7591 0.2348 0.7591
Te7 Te 0.7591 0.7591 0.2348
Te8 Te 0.7652 0.2409 0.2409
# **Raw formation energy**: -2047 kJ/mol of formula units



# 12
# Pm2NdDyTe5 | Alexandria via LeMat-Bulk | PBE-GGA | relaxed
data_Pm2NdDyTe5
_space_group_name_H-M_alt 'P 1'
_space_group_IT_number 1
_space_group_name_Hall 'P 1'
_cell_length_a 5.6940
_cell_length_b 5.6940
_cell_length_c 11.6865
_cell_angle_alpha 90.00
_cell_angle_beta 90.00
_cell_angle_gamma 90.00
loop_
_atom_site_label
_atom_site_type_symbol
_atom_site_fract_x
_atom_site_fract_y
_atom_site_fract_z
Pm1 Pm 0.0000 0.0000 0.1541
Pm2 Pm 0.0000 0.0000 0.8459
Nd1 Nd 0.5000 0.5000 0.0000
Dy1 Dy 0.5000 0.5000 0.5000
Te1 Te 0.0000 0.0000 0.5000
Te2 Te 0.0000 0.5000 0.0000
Te3 Te 0.5000 0.0000 0.0000
Te4 Te 0.5000 0.5000 0.2576
Te5 Te 0.5000 0.5000 0.7423
# **Raw formation energy**: -591 kJ/mol of formula units